1.
Material: Sc3InRu
Method: DFT, PBE
State: optimized geometry

Cell: 8.934 8.327 5.451 Å, 77.76 65.63 36.60°
Positions (direct):
Sc 0.194 0.579 0.421
Sc 0.201 0.201 0.799
Sc 0.421 0.806 0.194
Sc 0.579 0.194 0.806
Sc 0.799 0.799 0.201
Sc 0.806 0.421 0.579
In 0.218 0.782 0.782
In 0.782 0.218 0.218
Ru 0.250 0.250 0.250
Ru 0.750 0.750 0.750

symmetry = No. 69
magnetization = 0.00 μB/atom
excess energy over the best structure of this formula in the dataset = 0 meV per atom
DFT formation energy = -0.42 eV per atom

2.
Material: CaTe4P
Method: DFT, PBE
State: optimized geometry

Cell: 6.301 6.301 6.301 Å, 60.00 60.00 60.00°
Positions (direct):
Ca 0.000 0.000 0.000
Te 0.376 0.376 0.376
Te 0.376 0.376 0.873
Te 0.376 0.873 0.376
Te 0.873 0.376 0.376
P 0.750 0.750 0.750

formation energy from raw total energies = 0.253 eV/atom
symmetry = No. 216
magnetization = 0.00 μB/atom

3.
Material: Cs2Ho2HfSe6
Method: DFT, PBE
State: optimized geometry

Cell: 7.049 7.049 8.918 Å, 97.93 97.93 119.74°
Positions (direct):
Cs 0.170 0.830 0.000
Cs 0.830 0.170 0.000
Ho 0.333 0.667 0.500
Ho 0.667 0.333 0.500
Hf 0.000 0.000 0.500
Se 0.064 0.379 0.681
Se 0.254 0.254 0.321
Se 0.379 0.064 0.681
Se 0.621 0.936 0.319
Se 0.746 0.746 0.679
Se 0.936 0.621 0.319

formation energy from raw total energies = -1.651 eV/atom
symmetry = No. 12
magnetization = 0.00 μB/atom

4.
Material: BeAlB3
Method: DFT, PBE
State: optimized geometry

Cell: 3.654 3.654 3.654 Å, 90.00 90.00 90.00°
Positions (direct):
Be 0.000 0.000 0.000
Al 0.500 0.500 0.500
B 0.000 0.000 0.500
B 0.000 0.500 0.000
B 0.500 0.000 0.000

symmetry = No. 221
magnetization = 0.00 μB/atom
excess energy over the best structure of this formula in the dataset = 0 meV per atom
DFT formation energy = 1.41 eV per atom

5.
Material: Al2CrPb
Method: DFT, PBE
State: optimized geometry

Cell: 3.266 3.266 7.343 Å, 90.00 90.00 90.00°
Positions (direct):
Al 0.000 0.000 0.000
Al 0.500 0.500 0.219
Cr 0.000 0.000 0.394
Pb 0.500 0.500 0.685

symmetry = No. 99
magnetization = 0.83 μB/atom
DFT formation energy = 0.31 eV per atom

6.
Material: Ac6CuNi3
Method: DFT, PBE
State: optimized geometry

Cell: 11.168 4.089 14.734 Å, 90.00 110.08 90.00°
Positions (direct):
Ac 0.010 0.250 0.117
Ac 0.049 0.750 0.397
Ac 0.263 0.250 0.822
Ac 0.330 0.250 0.591
Ac 0.339 0.250 0.327
Ac 0.357 0.750 0.085
Ac 0.643 0.250 0.915
Ac 0.661 0.750 0.673
Ac 0.670 0.750 0.409
Ac 0.737 0.750 0.178
Ac 0.951 0.250 0.603
Ac 0.990 0.750 0.883
Cu 0.440 0.750 0.769
Cu 0.560 0.250 0.231
Ni 0.160 0.750 0.651
Ni 0.169 0.250 0.990
Ni 0.433 0.750 0.481
Ni 0.567 0.250 0.519
Ni 0.831 0.750 0.010
Ni 0.840 0.250 0.349

symmetry = No. 11
magnetization = 0.00 μB/atom
DFT formation energy = -0.15 eV per atom

7.
Material: GePdBr2
Method: DFT, PBE
State: optimized geometry

Cell: 5.093 5.093 16.275 Å, 90.00 90.00 90.00°
Positions (direct):
Ge 0.000 0.000 0.000
Ge 0.000 0.500 0.250
Ge 0.500 0.000 0.750
Ge 0.500 0.500 0.500
Pd 0.000 0.000 0.500
Pd 0.000 0.500 0.750
Pd 0.500 0.000 0.250
Pd 0.500 0.500 0.000
Br 0.234 0.250 0.625
Br 0.250 0.734 0.875
Br 0.250 0.766 0.375
Br 0.266 0.250 0.125
Br 0.734 0.750 0.125
Br 0.750 0.234 0.375
Br 0.750 0.266 0.875
Br 0.766 0.750 0.625

formation energy from raw total energies = 0.068 eV/atom
symmetry = No. 122
magnetization = 0.00 μB/atom
excess energy over the best structure of this formula in the dataset = 28 meV per atom

8.
Material: Te3Pd2Cl
Method: DFT, PBE
State: optimized geometry

Cell: 7.261 7.261 7.261 Å, 67.08 67.08 67.08°
Positions (direct):
Te 0.250 0.250 0.744
Te 0.250 0.744 0.250
Te 0.256 0.750 0.750
Te 0.744 0.250 0.250
Te 0.750 0.256 0.750
Te 0.750 0.750 0.256
Pd 0.000 0.000 0.000
Pd 0.000 0.500 0.500
Pd 0.500 0.000 0.500
Pd 0.500 0.500 0.000
Cl 0.246 0.246 0.246
Cl 0.754 0.754 0.754

formation energy from raw total energies = -0.217 eV/atom
symmetry = No. 166
magnetization = 0.00 μB/atom